## NbCuTe3 (GGA-PBE)

Data for crystalline NbCuTe3 at its relaxed geometry.

Structure (POSCAR):
```
NbCuTe3
1.0
-2.686 -1.893 -1.899
4.859 -2.810 -4.072
-3.885 -4.734 10.213
Te Cu Nb
6 2 2
direct
0.750 0.797 0.075 Te
0.750 0.503 0.262 Te
0.250 0.497 0.738 Te
0.250 0.202 0.408 Te
0.750 0.798 0.592 Te
0.250 0.203 0.925 Te
0.250 0.032 0.580 Cu
0.750 0.968 0.420 Cu
0.250 0.144 0.137 Nb
0.750 0.856 0.863 Nb
```

Energy relative to the lowest polymorph listed for this composition = 0.0000 eV/atom
Total magnetic moment = 0.0 μB/f.u.
Uncorrected energy = -4.919 eV per atom
DOS at the Fermi energy = 4.42 states/eV per cell

## PaIn2Ge3Pt4 (GGA-PBE)

Data for crystalline PaIn2Ge3Pt4 at its relaxed geometry.

Structure (POSCAR):
```
PaIn2Ge3Pt4
1.0
4.509 0.000 0.000
0.000 4.509 0.000
0.000 0.000 10.342
Pt Ge Pa In
4 3 1 2
direct
0.000 0.000 0.000 Pt
0.000 0.500 0.351 Pt
0.500 0.000 0.649 Pt
0.500 0.500 0.000 Pt
0.500 0.000 0.887 Ge
0.000 0.500 0.113 Ge
0.000 0.000 0.500 Ge
0.500 0.500 0.500 Pa
0.500 0.000 0.232 In
0.000 0.500 0.768 In
```

Total magnetic moment = 0.0 μB/f.u.
Uncorrected energy = -5.692 eV per atom
DOS at the Fermi energy = 3.24 states/eV per cell

## Ce2ErTmSe5 (GGA-PBE)

Data for crystalline Ce2ErTmSe5 at its relaxed geometry.

Structure (POSCAR):
```
Ce2ErTmSe5
1.0
5.093 0.000 0.000
0.000 5.093 0.000
0.000 0.000 10.682
Er Se Ce Tm
1 5 2 1
direct
0.000 0.000 0.000 Er
0.500 0.000 0.500 Se
0.000 0.000 0.245 Se
0.000 0.000 0.755 Se
0.000 0.500 0.500 Se
0.500 0.500 0.000 Se
0.500 0.500 0.300 Ce
0.500 0.500 0.700 Ce
0.000 0.000 0.500 Tm
```

Total magnetic moment = 3.3 μB/f.u.
Uncorrected energy = -5.573 eV per atom
DOS at the Fermi energy = 19.21 states/eV per cell